[1]
Material: KBa2Te
Method: DFT, GGA-PBE
State: relaxed

Geometry as POSCAR:
```
KBa2Te
1.0
4.3932 0.0000 0.0000
0.0000 4.3932 0.0000
0.0000 0.0000 11.3966
K Ba Te
1 2 1
direct
0.0000 0.0000 0.0000
0.0000 0.0000 0.3333
0.5000 0.5000 0.6594
0.5000 0.5000 0.1916
```

Calculated values
- DFT total energy: -10.82 eV for the cell shown
- Formation energy from raw total energies: -2.74 eV/f.u.
- SG: No. 99
- V: 54.99 A^3/atom

=====

[2]
Material: KBa2Te
Method: DFT, GGA-PBE
State: relaxed

Geometry as POSCAR:
```
KBa2Te
1.0
-2.2324 3.1002 8.0242
2.2324 -3.1002 8.0242
2.2324 3.1002 -8.0242
K Ba Te
1 2 1
direct
0.0000 0.0000 0.0000
0.3332 0.8332 0.5000
0.6668 0.1668 0.5000
0.5000 0.5000 0.0000
```

Calculated values
- DFT total energy: -10.77 eV for the cell shown
- Formation energy from raw total energies: -2.68 eV/f.u.
- SG: No. 71
- V: 55.53 A^3/atom

=====

[3]
Material: KBa2Te
Method: DFT, GGA-PBE
State: relaxed

Geometry as POSCAR:
```
KBa2Te
1.0
4.7122 0.0000 0.0000
0.0000 2.5081 9.7651
0.0000 -2.5081 9.7651
K Ba Te
1 2 1
direct
0.0000 0.0000 0.0000
0.0000 0.3166 0.3166
0.5000 0.6649 0.6649
0.5000 0.8453 0.8453
```

Calculated values
- DFT total energy: -10.94 eV for the cell shown
- Formation energy from raw total energies: -2.86 eV/f.u.
- SG: No. 38
- V: 57.70 A^3/atom

=====

[4]
Material: KBa2Te
Method: DFT, GGA-PBE
State: relaxed

Geometry as POSCAR:
```
KBa2Te
1.0
-2.2181 2.7167 9.0892
2.2181 -2.7167 9.0892
2.2181 2.7167 -9.0892
K Ba Te
1 2 1
direct
0.0000 0.0000 0.0000
0.3291 0.8291 0.5000
0.6572 0.6572 0.0000
0.8159 0.3159 0.5000
```

Calculated values
- DFT total energy: -10.83 eV for the cell shown
- Formation energy from raw total energies: -2.74 eV/f.u.
- SG: No. 44
- V: 54.77 A^3/atom